1.
PmNd14Y after structural relaxation. Source: Alexandria via LeMat-Bulk, functional PBE.

Summary:
The formation energy comes out at 12 meV per atom. The space group is No. 123. The total moment comes out at 0.0 μB/cell. The total energy is -4.860 eV/atom.

Cell: 7.347 7.347 10.389 Å, 90.00 90.00 90.01°
Fractional positions:
Pm  0.875  0.125  0.000
Nd  0.375  0.625  0.500
Nd  0.875  0.125  0.500
Nd  0.875  0.625  0.000
Nd  0.875  0.625  0.500
Nd  0.375  0.125  0.000
Nd  0.375  0.125  0.500
Nd  0.624  0.874  0.751
Nd  0.624  0.874  0.249
Nd  0.126  0.376  0.751
Nd  0.126  0.376  0.249
Nd  0.125  0.875  0.751
Nd  0.125  0.875  0.249
Nd  0.625  0.375  0.751
Nd  0.625  0.375  0.249
Y  0.375  0.625  0.000


2.
Pm3Nd3Y after structural relaxation. Source: Alexandria via LeMat-Bulk, functional PBE.

Summary:
The formation energy comes out at 215 meV per atom. The space group is No. 148. The total moment comes out at 0.0 μB/cell. The total energy is -4.788 eV/atom. The calculation puts the energy above the most stable polymorph in this dataset at 0.191 eV per atom.

Cell: 9.018 9.018 9.018 Å, 58.38 58.38 58.38°
Fractional positions:
Pm  0.720  0.569  0.069
Pm  0.069  0.720  0.569
Pm  0.569  0.069  0.720
Pm  0.431  0.931  0.280
Pm  0.931  0.280  0.431
Pm  0.280  0.431  0.931
Nd  0.706  0.180  0.938
Nd  0.180  0.938  0.706
Nd  0.938  0.706  0.180
Nd  0.062  0.294  0.820
Nd  0.820  0.062  0.294
Nd  0.294  0.820  0.062
Y  0.345  0.345  0.345
Y  0.655  0.655  0.655


3.
Pm12Nd2Y after structural relaxation. Source: Alexandria via LeMat-Bulk, functional PBE.

Summary:
The formation energy comes out at 309 meV per atom. The space group is No. 125. The total moment comes out at 0.0 μB/cell. The total energy is -4.558 eV/atom.

Cell: 6.568 6.568 25.505 Å, 90.00 90.00 90.00°
Fractional positions:
Pm  0.500  0.500  0.785
Pm  0.000  0.000  0.785
Pm  0.814  0.686  0.886
Pm  0.314  0.814  0.886
Pm  0.000  0.000  0.338
Pm  0.186  0.686  0.114
Pm  0.832  0.332  0.562
Pm  0.500  0.500  0.338
Pm  0.186  0.314  0.886
Pm  0.686  0.814  0.114
Pm  0.332  0.168  0.562
Pm  0.668  0.168  0.438
Pm  0.000  0.000  0.662
Pm  0.168  0.332  0.438
Pm  0.314  0.186  0.114
Pm  0.832  0.668  0.438
Pm  0.668  0.832  0.562
Pm  0.000  0.000  0.215
Pm  0.168  0.668  0.562
Pm  0.500  0.500  0.662
Pm  0.686  0.186  0.886
Pm  0.500  0.500  0.215
Pm  0.332  0.832  0.438
Pm  0.814  0.314  0.114
Nd  0.500  0.000  0.268
Nd  0.000  0.500  0.268
Nd  0.000  0.500  0.732
Nd  0.500  0.000  0.732
Y  0.500  0.000  0.000
Y  0.000  0.500  0.000


4.
Pm2Nd2Y5 after structural relaxation. Source: Alexandria via LeMat-Bulk, functional PBE.

Summary:
The formation energy comes out at 211 meV per atom. The space group is No. 46. The total moment comes out at 0.0 μB/cell. The total energy is -5.496 eV/atom. The calculation puts the energy above the most stable polymorph in this dataset at 0.180 eV per atom.

Cell: 11.926 6.838 10.208 Å, 109.57 125.74 90.00°
Fractional positions:
Pm  0.125  0.686  0.254
Pm  0.875  0.432  0.746
Pm  0.629  0.186  0.254
Pm  0.371  0.932  0.746
Nd  0.000  0.012  0.000
Nd  0.500  0.512  0.000
Nd  0.259  0.359  0.500
Nd  0.741  0.859  0.500
Y  0.203  0.650  0.895
Y  0.797  0.756  0.105
Y  0.191  0.150  0.895
Y  0.809  0.256  0.105
Y  0.377  0.035  0.285
Y  0.623  0.750  0.715
Y  0.409  0.535  0.285
Y  0.591  0.250  0.715
Y  0.005  0.655  0.500
Y  0.995  0.155  0.500


5.
Pm6NdY2 after structural relaxation. Source: Alexandria via LeMat-Bulk, functional PBE.

Summary:
The formation energy comes out at 57 meV per atom. The space group is No. 15. The total moment comes out at 0.0 μB/cell. The total energy is -5.076 eV/atom. The calculation puts the energy above the most stable polymorph in this dataset at 0.000 eV per atom.

Cell: 5.782 12.059 12.060 Å, 48.71 103.83 103.83°
Fractional positions:
Pm  0.829  0.502  0.668
Pm  0.671  0.332  0.498
Pm  0.171  0.498  0.332
Pm  0.329  0.668  0.502
Pm  0.918  0.918  0.418
Pm  0.582  0.582  0.082
Pm  0.082  0.082  0.582
Pm  0.418  0.418  0.918
Pm  0.159  0.832  0.998
Pm  0.341  0.002  0.168
Pm  0.841  0.168  0.002
Pm  0.659  0.998  0.832
Nd  0.250  0.250  0.750
Nd  0.750  0.750  0.250
Y  0.506  0.833  0.667
Y  0.994  0.333  0.167
Y  0.494  0.167  0.333
Y  0.006  0.667  0.833


6.
Pm5NdY12 after structural relaxation. Source: Alexandria via LeMat-Bulk, functional PBE.

Summary:
The formation energy comes out at 20 meV per atom. The space group is No. 10. The total moment comes out at 0.0 μB/cell. The total energy is -5.874 eV/atom.

Cell: 15.249 10.786 5.094 Å, 90.00 90.01 45.11°
Fractional positions:
Pm  0.500  0.000  0.500
Pm  0.167  0.666  0.500
Pm  0.833  0.334  0.500
Pm  0.667  0.667  0.000
Pm  0.333  0.333  0.000
Nd  0.000  0.000  0.000
Y  0.833  0.000  0.500
Y  0.167  0.000  0.500
Y  0.667  0.000  0.000
Y  0.333  0.000  0.000
Y  0.334  0.667  0.000
Y  0.000  0.666  0.000
Y  0.001  0.334  0.000
Y  0.666  0.333  0.000
Y  0.500  0.333  0.500
Y  0.834  0.667  0.500
Y  0.166  0.333  0.500
Y  0.500  0.667  0.500


7.
Pm6NdY8 after structural relaxation. Source: Alexandria via LeMat-Bulk, functional PBE.

Summary:
The formation energy comes out at 122 meV per atom. The space group is No. 148. The total moment comes out at 0.0 μB/cell. The total energy is -5.544 eV/atom.

Cell: 9.152 9.152 8.769 Å, 58.55 58.55 60.00°
Fractional positions:
Pm  0.462  0.895  0.872
Pm  0.105  0.229  0.128
Pm  0.229  0.538  0.128
Pm  0.771  0.462  0.872
Pm  0.895  0.771  0.872
Pm  0.538  0.105  0.128
Nd  0.000  0.000  0.000
Y  0.251  0.283  0.577
Y  0.717  0.112  0.423
Y  0.112  0.749  0.423
Y  0.577  0.577  0.269
Y  0.423  0.423  0.731
Y  0.888  0.251  0.577
Y  0.283  0.888  0.577
Y  0.749  0.717  0.423


8.
Pm4Nd3Y8 after structural relaxation. Source: Alexandria via LeMat-Bulk, functional PBE.

Summary:
The formation energy comes out at 134 meV per atom. The space group is No. 166. The total moment comes out at 0.0 μB/cell. The total energy is -5.534 eV/atom. The calculation puts the energy above the most stable polymorph in this dataset at 0.000 eV per atom.

Cell: 7.050 7.050 12.585 Å, 73.73 73.73 60.00°
Fractional positions:
Pm  0.000  0.000  0.000
Pm  0.336  0.336  0.992
Pm  0.500  0.500  0.500
Pm  0.664  0.664  0.008
Nd  0.500  0.000  0.500
Nd  0.000  0.000  0.500
Nd  0.000  0.500  0.500
Y  0.246  0.246  0.262
Y  0.250  0.751  0.249
Y  0.751  0.751  0.249
Y  0.751  0.250  0.249
Y  0.754  0.754  0.738
Y  0.750  0.249  0.751
Y  0.249  0.249  0.751
Y  0.249  0.750  0.751